Entry w
Ca4TiMn3O12 | PBE with a Hubbard U | relaxed

* space-group type: P4/mmm, No. 123
* ρ: 4.19 g/cm³
* crystal system: tetragonal

Cell and atoms, written as POSCAR:
```
Ca4TiMn3O12
1.0
7.640 0.000 0.000
0.000 7.640 0.000
0.000 0.000 3.836
Ca Ti Mn O
4 1 3 12
Direct
0.245 0.245 0.000
0.245 0.755 0.000
0.755 0.245 0.000
0.755 0.755 0.000
0.500 0.500 0.500
0.000 0.000 0.500
0.000 0.500 0.500
0.500 0.000 0.500
0.000 0.000 0.000
0.000 0.250 0.500
0.000 0.500 0.000
0.000 0.750 0.500
0.246 0.500 0.500
0.250 0.000 0.500
0.500 0.000 0.000
0.500 0.246 0.500
0.500 0.500 0.000
0.500 0.754 0.500
0.750 0.000 0.500
0.754 0.500 0.500
```


Entry x
Ca4TiMn3O12 | PBE with a Hubbard U | relaxed

* space-group type: Pm, No. 6
* ρ: 4.25 g/cm³
* crystal system: monoclinic

Cell and atoms, written as POSCAR:
```
Ca4TiMn3O12
1.0
5.352 0.000 0.000
0.000 15.189 0.000
-0.001 0.000 10.859
Ca Ti Mn O
16 4 12 48
Direct
0.000 0.000 0.000
0.001 0.500 0.002
0.479 0.000 0.750
0.480 0.500 0.251
0.481 0.500 0.756
0.482 0.000 0.249
0.498 0.247 0.295
0.498 0.753 0.295
0.500 0.250 0.797
0.500 0.750 0.797
0.980 0.248 0.046
0.980 0.248 0.548
0.980 0.752 0.046
0.980 0.752 0.548
0.996 0.500 0.507
0.998 0.000 0.500
0.489 0.374 0.526
0.489 0.626 0.526
0.987 0.374 0.274
0.987 0.626 0.274
0.487 0.375 0.023
0.487 0.625 0.023
0.488 0.124 0.523
0.488 0.876 0.523
0.490 0.125 0.023
0.490 0.875 0.023
0.987 0.374 0.777
0.987 0.626 0.777
0.989 0.125 0.774
0.989 0.875 0.774
0.992 0.124 0.273
0.992 0.876 0.273
0.064 0.247 0.266
0.064 0.753 0.266
0.071 0.249 0.764
0.071 0.751 0.764
0.195 0.103 0.628
0.195 0.897 0.628
0.196 0.393 0.633
0.196 0.607 0.633
0.198 0.103 0.128
0.198 0.897 0.128
0.204 0.394 0.128
0.204 0.606 0.128
0.281 0.393 0.381
0.281 0.607 0.381
0.283 0.104 0.878
0.283 0.896 0.878
0.284 0.103 0.378
0.284 0.897 0.378
0.286 0.395 0.878
0.286 0.605 0.878
0.408 0.249 0.013
0.408 0.751 0.013
0.416 0.247 0.516
0.416 0.753 0.516
0.562 0.500 0.534
0.570 0.500 0.034
0.571 0.000 0.033
0.572 0.000 0.535
0.696 0.146 0.670
0.696 0.356 0.167
0.696 0.644 0.167
0.696 0.854 0.670
0.698 0.146 0.168
0.698 0.854 0.168
0.704 0.356 0.672
0.704 0.644 0.672
0.781 0.355 0.419
0.781 0.645 0.419
0.782 0.145 0.419
0.782 0.855 0.419
0.783 0.146 0.919
0.783 0.854 0.919
0.787 0.354 0.922
0.787 0.646 0.922
0.907 0.000 0.283
0.908 0.000 0.784
0.909 0.500 0.787
0.918 0.500 0.283
```


Least stable = entry w


Entry w
Ca2TiMnO6 | PBE with a Hubbard U | relaxed

* space-group type: P2_1/c, No. 14
* ρ: 4.17 g/cm³
* crystal system: monoclinic

Cell and atoms, written as POSCAR:
```
Ca2TiMnO6
1.0
5.366 0.000 0.000
0.000 5.435 0.000
-5.356 0.000 7.619
Ca Ti Mn O
4 2 2 12
Direct
0.241 0.040 0.249
0.241 0.460 0.749
0.759 0.540 0.251
0.759 0.960 0.751
0.500 0.000 0.000
0.500 0.500 0.500
0.000 0.000 0.500
0.000 0.500 0.000
0.170 0.214 0.962
0.170 0.286 0.462
0.248 0.709 0.961
0.248 0.791 0.461
0.321 0.016 0.747
0.321 0.484 0.247
0.679 0.516 0.753
0.679 0.984 0.253
0.752 0.209 0.539
0.752 0.291 0.039
0.830 0.714 0.538
0.830 0.786 0.038
```


Entry x
Ca2TiMnO6 | PBE with a Hubbard U | relaxed

* space-group type: I4/m, No. 87
* ρ: 4.17 g/cm³
* crystal system: tetragonal

Cell and atoms, written as POSCAR:
```
Ca2TiMnO6
1.0
-2.679 2.679 3.872
2.679 -2.679 3.872
2.679 2.679 -3.872
Ca Ti Mn O
2 1 1 6
Direct
0.250 0.750 0.500
0.750 0.250 0.500
0.000 0.000 0.000
0.500 0.500 0.000
0.197 0.692 0.890
0.253 0.253 0.000
0.308 0.197 0.505
0.692 0.803 0.495
0.747 0.747 0.000
0.803 0.308 0.110
```


Least stable = entry x